one.
# InSIN2

InSIN2 after structural relaxation (PBE, Alexandria via LeMat-Bulk).

a b c (Å): 4.3310 4.3310 5.6489
angles (deg): 90.00 90.00 90.00
Space group P4/mmm (No. 123)
One atom of each set of equivalent atoms:
In 0.0000 0.0000 0.0000
S 0.0000 0.0000 0.5000
I 0.5000 0.5000 0.5000
N 0.0000 0.5000 0.0000

Summary:
The calculation puts the spin magnetization at 0.77 μB per atom.

***

two.
# InSIN2

InSIN2 after structural relaxation (PBE, Alexandria via LeMat-Bulk).

a b c (Å): 4.0343 4.0343 7.0086
angles (deg): 90.00 90.00 90.00
Space group P4/mmm (No. 123)
One atom of each set of equivalent atoms:
In 0.0000 0.0000 0.0000
S 0.5000 0.5000 0.5000
I 0.5000 0.5000 0.0000
N 0.0000 0.5000 0.5000

Summary:
The calculation puts the spin magnetization at 0.40 μB per atom.

***

three.
# InSIN2

InSIN2 after structural relaxation (PBE, Alexandria via LeMat-Bulk).

a b c (Å): 4.2139 4.2139 7.9984
angles (deg): 90.00 90.00 90.00
Space group P4/mmm (No. 123)
One atom of each set of equivalent atoms:
In 0.0000 0.0000 0.0000
S 0.5000 0.5000 0.5000
I 0.0000 0.0000 0.5000
N 0.0000 0.5000 0.0000

Summary:
The calculation puts the spin magnetization at 0.63 μB per atom.

***

Stability summary - winner: one; margin: 128 meV/atom.

***

one.
# InSb2IN

InSb2IN after structural relaxation (PBE, Alexandria via LeMat-Bulk).

a b c (Å): 5.7486 5.7486 6.2131
angles (deg): 90.00 90.00 90.00
Space group P4/mmm (No. 123)
One atom of each set of equivalent atoms:
In 0.0000 0.0000 0.0000
Sb 0.0000 0.5000 0.0000
I 0.0000 0.0000 0.5000
N 0.5000 0.5000 0.5000

Summary:
The calculation puts the spin magnetization at 0.94 μB per atom.

***

two.
# InSb2IN

InSb2IN after structural relaxation (PBE, Alexandria via LeMat-Bulk).

a b c (Å): 4.9413 4.9413 4.8983
angles (deg): 90.00 90.00 90.00
Space group P4/mmm (No. 123)
One atom of each set of equivalent atoms:
In 0.0000 0.0000 0.0000
Sb 0.0000 0.5000 0.5000
I 0.5000 0.5000 0.0000
N 0.5000 0.5000 0.5000

Summary:
The calculation puts the spin magnetization at 0.00 μB per atom.

***

Stability summary - winner: two; margin: 837 meV/atom.